Computed, not measured: Na2Cu3AgAs4 after structural relaxation at the GGA-PBE level of DFT.

a = 4.231 Å, b = 4.231 Å, c = 10.480 Å
α = 90.00°, β = 90.00°, γ = 90.00°
Positions (direct):
Na 0.000 0.500 0.244
Na 0.500 0.000 0.756
Cu 0.000 0.000 0.000
Cu 0.000 0.500 0.629
Cu 0.500 0.000 0.371
Ag 0.500 0.500 0.000
As 0.000 0.000 0.500
As 0.000 0.500 0.856
As 0.500 0.000 0.144
As 0.500 0.500 0.500

- Space group: P-4m2
- Formation energy: -13 kJ/mol of atoms
- Calculated volume: 18.761 Å³/atom
- Total moment: 0.00 μB per atom

Computed, not measured: NaCuAgAs after structural relaxation at the GGA-PBE level of DFT.

a = 3.917 Å, b = 3.917 Å, c = 10.642 Å
α = 90.00°, β = 90.00°, γ = 90.00°
Positions (direct):
Na 0.250 0.250 0.243
Na 0.750 0.750 0.757
Cu 0.250 0.750 0.500
Cu 0.750 0.250 0.500
Ag 0.250 0.750 0.000
Ag 0.750 0.250 0.000
As 0.250 0.250 0.639
As 0.750 0.750 0.361

- Space group: P4/nmm
- Formation energy: -6 kJ/mol of atoms
- Calculated volume: 20.409 Å³/atom
- Total moment: 0.00 μB per atom

Computed, not measured: CuNiAgAs2 after structural relaxation at the GGA-PBE level of DFT.

a = 4.871 Å, b = 4.871 Å, c = 4.687 Å
α = 90.00°, β = 90.00°, γ = 90.00°
Positions (direct):
Cu 0.000 0.000 0.000
Ni 0.500 0.500 0.000
Ag 0.000 0.000 0.500
As 0.000 0.500 0.500
As 0.500 0.000 0.500

- Space group: P4/mmm
- Formation energy: 116 kJ/mol of atoms
- Calculated volume: 22.245 Å³/atom
- Total moment: 0.00 μB per atom

Computed, not measured: CuAg2AsO4 after structural relaxation at the GGA-PBE level of DFT.

a = 5.078 Å, b = 5.114 Å, c = 5.446 Å
α = 63.60°, β = 65.11°, γ = 85.81°
Positions (direct):
Cu 0.000 0.000 0.000
Ag 0.618 0.401 0.016
Ag 0.793 0.149 0.547
As 0.359 0.712 0.504
O 0.129 0.390 0.662
O 0.236 0.999 0.273
O 0.376 0.785 0.780
O 0.708 0.655 0.283

- Space group: P1
- Energy relative to the elements, uncorrected: -0.64 eV per atom
- Calculated volume: 14.222 Å³/atom
- Total moment: 0.00 μB per atom